An optimized crystal structure of Sb3Br, computed with GGA-PBEsol.

Cell: 3.771 3.771 7.572 Å, 90.00 90.00 90.00°
Positions (direct):
Br 0.000 0.000 0.000
Sb 0.500 0.500 0.711
Sb 0.500 0.500 0.289
Sb 0.000 0.000 0.500

Computed properties:
V in Å³ per atom: 26.9
Excess energy over the best structure of this formula in the dataset in kcal/mol of atoms: 0.00
DOS(E_F) in states/eV/cell: 1.781
Formation energy (no corrections) in eV per atom: 0.00
Mass density in Mg/m³: 6.865
Crystal system: tetragonal